{
  "formula": "Tb6In2Tc",
  "functional": "PBE",
  "state": "optimized geometry",
  "final_energy_ev_per_atom": -5.113,
  "e_form_ev_per_atom": -0.27,
  "lattice_angstrom": [[3.904, 0.000, 0.000], [0.000, 8.627, 0.000], [0.000, -4.314, 7.471]],
  "species": ["Tb", "Tb", "Tc", "Tb", "In", "Tb", "Tb", "Tb", "In"],
  "frac_coords": [[0.000, 0.242, 0.000], [0.500, 0.613, 0.000], [0.500, 0.000, 0.000], [0.500, 0.387, 0.387], [0.000, 0.333, 0.666], [0.000, 0.000, 0.242], [0.000, 0.758, 0.758], [0.500, 0.000, 0.613], [0.000, 0.667, 0.334]]
}

***

{
  "formula": "Tb4InTc",
  "functional": "PBE",
  "state": "optimized geometry",
  "final_energy_ev_per_atom": -5.510,
  "e_form_ev_per_atom": -0.24,
  "lattice_angstrom": [[6.188, -0.762, 0.000], [-2.550, 8.717, 0.000], [-1.819, -3.978, 6.517]],
  "species": ["Tc", "Tb", "Tc", "Tb", "In", "Tb", "Tb", "Tb", "Tb", "Tb", "In", "Tb"],
  "frac_coords": [[0.750, 0.000, 0.000], [0.908, 0.798, 0.157], [0.250, 0.000, 0.000], [0.092, 0.202, 0.843], [0.374, 0.624, 0.248], [0.748, 0.358, 0.157], [0.772, 0.724, 0.664], [0.228, 0.276, 0.336], [0.608, 0.060, 0.336], [0.392, 0.940, 0.664], [0.626, 0.376, 0.752], [0.252, 0.642, 0.843]]
}

***

{
  "formula": "Tb8In2Tc",
  "functional": "PBE",
  "state": "optimized geometry",
  "final_energy_ev_per_atom": -5.014,
  "e_form_ev_per_atom": -0.21,
  "lattice_angstrom": [[-5.032, -2.257, 0.564], [2.191, -3.471, 5.662], [-0.760, 8.913, 1.642]],
  "species": ["In", "Tb", "Tb", "Tc", "Tb", "Tb", "Tb", "Tb", "Tb", "Tb", "In"],
  "frac_coords": [[0.815, 0.312, 0.629], [0.807, 0.775, 0.614], [0.006, 0.764, 0.013], [0.500, 0.000, 0.000], [0.387, 0.602, 0.773], [0.613, 0.398, 0.227], [0.193, 0.225, 0.386], [0.636, 0.895, 0.272], [0.994, 0.236, 0.987], [0.364, 0.105, 0.728], [0.185, 0.688, 0.371]]
}

***

{
  "formula": "Tb3InTc",
  "functional": "PBE",
  "state": "optimized geometry",
  "final_energy_ev_per_atom": -5.619,
  "relative_energy_ev_per_atom": 0.000,
  "e_form_ev_per_atom": -0.22,
  "lattice_angstrom": [[-3.398, -3.951, -2.745], [5.390, 0.136, -2.371], [1.416, -3.752, 7.717]],
  "species": ["Tb", "In", "Tb", "Tc", "Tb", "Tb", "Tc", "In", "Tb", "Tb"],
  "frac_coords": [[0.701, 0.201, 0.902], [0.706, 0.206, 0.500], [0.302, 0.417, 0.719], [0.750, 0.750, 0.000], [0.299, 0.799, 0.098], [0.917, 0.802, 0.719], [0.250, 0.250, 0.000], [0.294, 0.794, 0.500], [0.083, 0.198, 0.281], [0.698, 0.583, 0.281]]
}

***

{
  "formula": "Tb3InTc",
  "functional": "PBE",
  "state": "optimized geometry",
  "final_energy_ev_per_atom": -5.533,
  "relative_energy_ev_per_atom": 0.086,
  "e_form_ev_per_atom": -0.13,
  "lattice_angstrom": [[-1.515, 5.078, 0.834], [-4.059, -4.566, 3.179], [7.246, 1.439, 4.402]],
  "species": ["Tb", "Tb", "Tb", "Tb", "Tc", "Tb", "In", "In", "Tc", "Tb"],
  "frac_coords": [[0.078, 0.157, 0.235], [0.213, 0.425, 0.721], [0.413, 0.826, 0.119], [0.787, 0.575, 0.279], [0.817, 0.634, 0.981], [0.587, 0.174, 0.881], [0.622, 0.244, 0.498], [0.378, 0.756, 0.502], [0.183, 0.366, 0.019], [0.922, 0.843, 0.765]]
}

***

{
  "formula": "Tb12In3Tc",
  "functional": "PBE",
  "state": "optimized geometry",
  "final_energy_ev_per_atom": -4.782,
  "e_form_ev_per_atom": -0.15,
  "lattice_angstrom": [[4.828, 0.000, 0.000], [0.000, 4.828, 0.000], [0.000, 0.000, 19.117]],
  "species": ["Tb", "Tb", "Tb", "In", "Tb", "In", "In", "Tb", "Tb", "Tb", "Tb", "Tb", "Tb", "Tc", "Tb", "Tb"],
  "frac_coords": [[0.000, 0.500, 0.111], [0.500, 0.000, 0.371], [0.500, 0.500, 0.000], [0.000, 0.000, 0.246], [0.500, 0.500, 0.500], [0.000, 0.000, 0.754], [0.000, 0.000, 0.500], [0.500, 0.000, 0.889], [0.000, 0.500, 0.889], [0.000, 0.500, 0.371], [0.500, 0.500, 0.243], [0.500, 0.000, 0.111], [0.500, 0.000, 0.629], [0.000, 0.000, 0.000], [0.500, 0.500, 0.757], [0.000, 0.500, 0.629]]
}

***

{
  "formula": "TbInTc4",
  "functional": "PBE",
  "state": "optimized geometry",
  "final_energy_ev_per_atom": -8.117,
  "e_form_ev_per_atom": 0.02,
  "lattice_angstrom": [[-3.503, -4.007, -0.282], [1.582, -4.996, 0.970], [-1.577, -2.479, 4.446]],
  "species": ["Tb", "Tc", "In", "Tc", "Tc", "Tc"],
  "frac_coords": [[0.250, 0.250, 0.250], [0.626, 0.626, 0.626], [0.000, 0.000, 0.000], [0.626, 0.626, 0.123], [0.123, 0.626, 0.626], [0.626, 0.123, 0.626]]
}

***

{
  "formula": "Tb3Th3In2Tc",
  "functional": "PBE",
  "state": "optimized geometry",
  "final_energy_ev_per_atom": -6.057,
  "e_form_ev_per_atom": -0.28,
  "lattice_angstrom": [[-2.539, 2.176, -1.885], [-5.824, -1.204, 6.456], [5.570, 6.777, 0.321]],
  "species": ["Th", "Th", "Tb", "In", "Th", "Tb", "Tc", "In", "Tb"],
  "frac_coords": [[0.500, 0.244, 0.244], [0.500, 0.756, 0.000], [0.000, 0.000, 0.397], [0.500, 0.667, 0.333], [0.500, 0.000, 0.756], [0.000, 0.397, 0.000], [0.000, 0.000, 0.000], [0.500, 0.333, 0.667], [0.000, 0.603, 0.603]]
}